Record 1
KCo2Au after structural relaxation, computed with PBE.

Cell and atoms, written as extended XYZ:
```
4
Lattice="-2.465 -0.851 -1.057 -1.010 -0.311 2.608 -2.965 8.722 -0.110" Properties=species:S:1:pos:R:3 pbc="T T T"
Au -3.962 5.960 0.693
Co -2.824 8.305 -0.105
Co -1.625 4.778 -0.060
K -2.479 1.599 0.748
```

Computed properties:
The electronic total energy is -15.4 eV/f.u. The value obtained for the calculated formation energy is 0.808 eV per atom. The space group is No. 123. The spin magnetization comes out at 3.3 μB per formula unit. Its polymorph energy (0 for the lowest one) is 435 meV/atom.



Record 2
KCo3Au after structural relaxation, computed with PBE.

Cell and atoms, written as extended XYZ:
```
5
Lattice="-2.184 -3.995 1.775 2.698 -2.793 -2.966 3.439 -0.346 3.454" Properties=species:S:1:pos:R:3 pbc="T T T"
Co 1.349 -1.396 -1.483
Co 1.719 -0.173 1.727
Co -1.092 -1.997 0.887
K 1.976 -3.567 1.132
Au 0.000 0.000 0.000
```

Computed properties:
The electronic total energy is -19.7 eV/f.u. The value obtained for the calculated formation energy is 1.208 eV per atom. The space group is No. 221. The spin magnetization comes out at 6.3 μB per formula unit. Its polymorph energy (0 for the lowest one) is 0 meV/atom.



Record 3
KCo2Au after structural relaxation, computed with PBE.

Cell and atoms, written as extended XYZ:
```
4
Lattice="-3.493 0.185 -3.581 -0.064 -4.517 -2.156 -0.288 1.256 4.837" Properties=species:S:1:pos:R:3 pbc="T T T"
Au -2.779 -0.363 -0.806
Co 0.000 0.000 0.000
Co -1.065 -2.713 -0.094
K -1.778 -2.166 -2.868
```

Computed properties:
The electronic total energy is -14.6 eV/f.u. The value obtained for the calculated formation energy is 1.002 eV per atom. The space group is No. 119. The spin magnetization comes out at 3.5 μB per formula unit. Its polymorph energy (0 for the lowest one) is 629 meV/atom.



calculated formation energy of number 1 (KCo2Au)?
0.808 eV per atom



Look up the electronic total energy of the third one.
-14.6 eV/f.u.



What is the spin magnetization in the first record?
3.3 μB per formula unit



Look up the calculated formation energy of the third one.
1.002 eV per atom